Entry 1:
First-principles (SCAN) data for a crystal of Fe23B3C3 relaxed with PBEsol, as listed in the Alexandria database.

Summary:
space-group type	No. 160
total moment	53.4	Bohr magnetons per cell
energy	-471.46	eV/f.u.
energy of formation from the pure elements	-0.065	eV/atom
density of states at the Fermi level	14.51	states/eV/cell

a b c (Å): 7.3219 7.3219 7.3219
angles (deg): 59.98 59.98 59.98
Closest atoms and distances in Å follow each position.
Fractional coordinates of all 29 atoms:
1 Fe 0.6601 0.3412 0.9953  1 C 2.07, 1 B 2.08
2 B 0.2734 0.2734 0.7245  8 Fe 2.06-2.08
3 Fe 0.3467 0.0005 0.0005  2 B 2.08
4 Fe 0.3795 0.3795 0.3795  3 B 2.06
5 Fe 0.8515 0.3838 0.3838  2 C 2.02, 1 B 2.08
6 Fe 0.6201 0.1437 0.6201  1 C 2.01, 2 B 2.07
7 Fe 0.7486 0.7486 0.7486  4 Fe 2.36-2.39
8 C 0.7217 0.2758 0.7217  8 Fe 2.01-2.07
9 Fe 0.1437 0.6201 0.6201  1 C 2.01, 2 B 2.07
10 B 0.2734 0.7245 0.2734  8 Fe 2.06-2.08
11 Fe 0.3838 0.8515 0.3838  2 C 2.02, 1 B 2.08
12 Fe 0.0064 0.0064 0.0064  12 Fe 2.45-2.54
13 Fe 0.2486 0.2486 0.2486  4 Fe 2.35-2.37
14 Fe 0.6601 0.9953 0.3412  1 C 2.07, 1 B 2.08
15 Fe 0.0005 0.3467 0.0005  2 B 2.08
16 Fe 0.6201 0.6201 0.1437  1 C 2.01, 2 B 2.07
17 Fe 0.0007 0.0007 0.6654  2 C 2.07
18 Fe 0.6654 0.0007 0.0007  2 C 2.07
19 Fe 0.6155 0.6155 0.6155  3 C 2.03
20 Fe 0.9953 0.6601 0.3412  1 C 2.07, 1 B 2.08
21 Fe 0.0005 0.0005 0.3467  2 B 2.08
22 C 0.2758 0.7217 0.7217  8 Fe 2.01-2.07
23 Fe 0.0007 0.6654 0.0007  2 C 2.07
24 Fe 0.3412 0.9953 0.6601  1 C 2.07, 1 B 2.08
25 Fe 0.3838 0.3838 0.8515  2 C 2.02, 1 B 2.08
26 B 0.7245 0.2734 0.2734  8 Fe 2.06-2.08
27 Fe 0.3412 0.6601 0.9953  1 C 2.07, 1 B 2.08
28 Fe 0.9953 0.3412 0.6601  1 C 2.07, 1 B 2.08
29 C 0.7217 0.7217 0.2758  8 Fe 2.01-2.07

Entry 2:
First-principles (SCAN) data for a crystal of GaBC3 relaxed with PBEsol, as listed in the Alexandria database.

Summary:
space-group type	No. 221
total moment	0.0	Bohr magnetons per cell
energy	-35.52	eV/f.u.
energy of formation from the pure elements	3.710	eV/atom
density of states at the Fermi level	3.14	states/eV/cell

a b c (Å): 3.9073 3.9073 3.9073
angles (deg): 90.00 90.00 90.00
Closest atoms and distances in Å follow each position.
Fractional coordinates of all 5 atoms:
1 C 0.0000 0.0000 0.5000  2 Ga 1.95
2 C 0.5000 0.0000 0.0000  2 Ga 1.95
3 Ga 0.0000 0.0000 0.0000  6 C 1.95
4 C 0.0000 0.5000 0.0000  2 Ga 1.95
5 B 0.5000 0.5000 0.5000  12 C 2.76

Entry 3:
First-principles (SCAN) data for a crystal of Gd2B3C2 relaxed with PBEsol, as listed in the Alexandria database.

Summary:
space-group type	No. 65
total moment	14.5	Bohr magnetons per cell
energy	-163.90	eV/f.u.
energy of formation from the pure elements	-0.539	eV/atom
density of states at the Fermi level	1.65	states/eV/cell

a b c (Å): 3.3841 3.6654 7.0346
angles (deg): 90.00 103.92 90.00
Closest atoms and distances in Å follow each position.
Fractional coordinates of all 7 atoms:
1 C 0.3944 0.5000 0.7889  2 B 1.44-1.54
2 Gd 0.8656 0.0000 0.7313  4 C 2.53, 6 B 2.72-2.74
3 Gd 0.1344 0.0000 0.2687  4 C 2.53, 6 B 2.72-2.74
4 B 0.2820 0.5000 0.5640  1 C 1.54
5 C 0.6056 0.5000 0.2111  2 B 1.44-1.54
6 B 0.7180 0.5000 0.4360  1 C 1.54
7 B 0.5000 0.5000 0.0000  2 C 1.44

Entry 4:
First-principles (SCAN) data for a crystal of GdB2C2 relaxed with PBEsol, as listed in the Alexandria database.

Summary:
space-group type	No. 127
total moment	14.4	Bohr magnetons per cell
energy	-96.44	eV/f.u.
energy of formation from the pure elements	-0.513	eV/atom
density of states at the Fermi level	1.72	states/eV/cell

a b c (Å): 3.5783 5.3429 5.3429
angles (deg): 90.00 90.00 90.00
Closest atoms and distances in Å follow each position.
Fractional coordinates of all 10 atoms:
1 Gd 0.0000 0.0000 0.0000  8 C 2.68, 8 B 2.74
2 B 0.5000 0.6363 0.1363  3 C 1.52-1.60
3 B 0.5000 0.1363 0.3637  3 C 1.52-1.60
4 B 0.5000 0.3637 0.8637  3 C 1.52-1.60
5 B 0.5000 0.8637 0.6363  3 C 1.52-1.60
6 Gd 0.0000 0.5000 0.5000  8 C 2.68, 8 B 2.74
7 C 0.5000 0.3378 0.1622  3 B 1.52-1.60
8 C 0.5000 0.1622 0.6622  3 B 1.52-1.60
9 C 0.5000 0.6622 0.8378  3 B 1.52-1.60
10 C 0.5000 0.8378 0.3378  3 B 1.52-1.60

Entry 5:
First-principles (SCAN) data for a crystal of NiGe2BC relaxed with PBEsol, as listed in the Alexandria database.

Summary:
space-group type	No. 123
total moment	1.1	Bohr magnetons per cell
energy	-64.36	eV/f.u.
energy of formation from the pure elements	1.503	eV/atom
density of states at the Fermi level	1.78	states/eV/cell

a b c (Å): 3.6016 4.4413 4.4413
angles (deg): 90.00 90.00 90.00
Closest atoms and distances in Å follow each position.
Fractional coordinates of all 5 atoms:
1 Ge 0.0000 0.5000 0.0000  2 Ni 2.22
2 B 0.5000 0.0000 0.0000  2 Ni 1.80
3 Ge 0.0000 0.0000 0.5000  2 Ni 2.22
4 Ni 0.0000 0.0000 0.0000  2 B 1.80
5 C 0.5000 0.5000 0.5000  8 Ge 2.86, 4 B 3.14

Entry 6:
First-principles (SCAN) data for a crystal of Mg2B4H22C2S relaxed with PBEsol, as listed in the Alexandria database.

Summary:
space-group type	No. 9
total moment	0.1	Bohr magnetons per cell
energy	-153.14	eV/f.u.
density of states at the Fermi level	0.00	states/eV/cell

a b c (Å): 7.5194 7.7997 12.2885
angles (deg): 83.08 75.53 61.18
Closest atoms and distances in Å follow each position.
Fractional coordinates of all 62 atoms:
1 B 0.6302 0.6764 0.8813  4 H 1.23-1.24
2 H 0.9805 0.9878 0.0576  1 C 1.10
3 S 0.8052 0.9893 0.9169  2 C 1.79-1.80
4 H 0.2041 0.3027 0.7136  1 B 1.23
5 C 0.8922 0.0964 0.9997  3 H 1.10
6 H 0.7212 0.3508 0.5906  1 B 1.23
7 H 0.9709 0.7823 0.5480  1 C 1.10
8 H 0.1417 0.8702 0.7934  1 C 1.10
9 H 0.5488 0.5769 0.8695  1 B 1.24
10 B 0.5618 0.3456 0.6448  4 H 1.22-1.23
11 H 0.4425 0.8998 0.5268  1 B 1.22
12 Mg 0.6026 0.8238 0.0566  8 H 2.02-2.18
13 H 0.5372 0.9464 0.6610  1 B 1.23
14 H 0.4878 0.8397 0.9110  1 B 1.23
15 H 0.0720 0.6492 0.0906  1 B 1.23
16 H 0.1409 0.7050 0.9097  1 C 1.10
17 H 0.4836 0.0536 0.1610  1 B 1.23
18 H 0.4902 0.4248 0.7380  1 B 1.23
19 H 0.9890 0.1551 0.9433  1 C 1.10
20 H 0.2259 0.7192 0.2480  1 B 1.23
21 H 0.3279 0.4137 0.4482  1 B 1.23
22 H 0.0118 0.1298 0.2934  1 C 1.10
23 H 0.7816 0.8269 0.1641  1 B 1.22
24 H 0.7431 0.6991 0.7954  1 B 1.23
25 H 0.9150 0.5752 0.2380  1 B 1.23
26 H 0.7069 0.7071 0.5662  1 B 1.23
27 H 0.9683 0.0122 0.5576  1 C 1.10
28 H 0.6086 0.1731 0.6641  1 B 1.22
29 B 0.3810 0.6858 0.1719  4 H 1.23-1.24
30 B 0.3579 0.1692 0.1060  4 H 1.22-1.23
31 H 0.1441 0.8449 0.4433  1 C 1.10
32 C 0.9886 0.9036 0.4997  3 H 1.10
33 H 0.1866 0.2368 0.1712  1 B 1.23
34 H 0.3422 0.1002 0.0268  1 B 1.22
35 H 0.4687 0.5209 0.1298  1 B 1.24
36 H 0.4278 0.4348 0.5900  1 B 1.23
37 H 0.8626 0.5652 0.0900  1 B 1.23
38 C 0.8546 0.1986 0.3479  3 H 1.10
39 B 0.0668 0.3142 0.6719  4 H 1.23-1.24
40 H 0.7416 0.5863 0.9482  1 B 1.23
41 H 0.9896 0.4791 0.6298  1 B 1.24
42 H 0.9451 0.2808 0.7480  1 B 1.23
43 Mg 0.2282 0.4680 0.2037  8 H 2.01-2.09
44 H 0.7532 0.2177 0.0480  1 C 1.10
45 H 0.4422 0.3009 0.2954  1 B 1.23
46 H 0.4140 0.2929 0.0662  1 B 1.23
47 Mg 0.6962 0.5320 0.7037  8 H 2.01-2.09
48 S 0.7945 0.0107 0.4169  2 C 1.79-1.80
49 H 0.1257 0.4231 0.3695  1 B 1.24
50 Mg 0.4264 0.1762 0.5566  8 H 2.02-2.18
51 H 0.5068 0.6973 0.2136  1 B 1.23
52 B 0.5271 0.8308 0.6060  4 H 1.22-1.23
53 H 0.1265 0.1950 0.5973  1 B 1.23
54 B 0.3066 0.3236 0.3813  4 H 1.23-1.24
55 C 0.0532 0.8014 0.8479  3 H 1.10
56 H 0.3275 0.1603 0.4110  1 B 1.23
57 H 0.3215 0.8050 0.0973  1 B 1.23
58 H 0.7402 0.2850 0.2962  1 C 1.10
59 H 0.0252 0.7150 0.7962  1 C 1.10
60 H 0.8459 0.2950 0.4097  1 C 1.10
61 H 0.4234 0.7632 0.6712  1 B 1.23
62 B 0.9074 0.6544 0.1448  4 H 1.22-1.23

Entry 7:
First-principles (SCAN) data for a crystal of Si2BPH28C9 relaxed with PBEsol, as listed in the Alexandria database.

Summary:
space-group type	No. 14
total moment	0.0	Bohr magnetons per cell
energy	-234.70	eV/f.u.
density of states at the Fermi level	0.00	states/eV/cell

a b c (Å): 8.7554 12.2033 14.7835
angles (deg): 90.00 90.00 105.45
Closest atoms and distances in Å follow each position.
Fractional coordinates of all 164 atoms:
1 H 0.1351 0.4521 0.6205  1 C 1.10
2 H 0.9686 0.8059 0.2458  1 B 1.22
3 H 0.5736 0.3555 0.9584  1 C 1.10
4 P 0.1063 0.1759 0.1731  3 C 1.81-1.82, 1 B 1.91
5 H 0.5827 0.6094 0.8781  1 C 1.10
6 C 0.0237 0.8766 0.5999  3 H 1.10-1.11
7 H 0.8991 0.6648 0.1382  1 C 1.10
8 H 0.9406 0.8011 0.3821  1 B 1.23
9 H 0.1307 0.4443 0.7412  1 C 1.10
10 H 0.6028 0.6647 0.1488  1 C 1.10
11 C 0.3980 0.7507 0.6746  3 H 1.10-1.11
12 C 0.2519 0.1604 0.2559  1 H 1.11
13 C 0.7032 0.3892 0.9574  3 H 1.10
14 H 0.4938 0.1586 0.0703  1 C 1.10
15 H 0.7957 0.6449 0.5286  1 C 1.10
16 H 0.8991 0.1648 0.3618  1 C 1.10
17 H 0.3972 0.3353 0.8512  1 C 1.10
18 H 0.7230 0.7913 0.1988  1 C 1.11
19 H 0.5648 0.0640 0.7362  1 C 1.10
20 H 0.7517 0.4315 0.7554  1 C 1.11
21 H 0.2043 0.3551 0.4714  1 C 1.10
22 C 0.8185 0.3391 0.5605  3 H 1.10
23 H 0.0202 0.5278 0.6848  1 C 1.10
24 H 0.9558 0.1336 0.4730  1 C 1.11
25 H 0.0586 0.9687 0.6142  1 C 1.10
26 H 0.4255 0.7004 0.6180  1 C 1.10
27 C 0.7481 0.3396 0.7559  1 H 1.11
28 C 0.8185 0.8391 0.9395  3 H 1.10
29 H 0.0202 0.0278 0.8152  1 C 1.10
30 H 0.5648 0.5640 0.7638  1 C 1.10
31 C 0.5181 0.1127 0.6853  3 H 1.10
32 C 0.2968 0.1108 0.4574  3 H 1.10
33 H 0.7837 0.4192 0.5544  1 C 1.10
34 H 0.5312 0.0695 0.1585  1 C 1.10
35 C 0.9763 0.6234 0.0999  3 H 1.10-1.11
36 H 0.8693 0.5557 0.2588  1 C 1.10
37 H 0.5745 0.2996 0.3820  1 C 1.10
38 H 0.7837 0.9192 0.9456  1 C 1.10
39 H 0.4173 0.8906 0.3781  1 C 1.10
40 P 0.1063 0.6759 0.3269  3 C 1.81-1.82, 1 B 1.91
41 H 0.7322 0.4805 0.9405  1 C 1.10
42 H 0.7164 0.7670 0.9555  1 C 1.10
43 H 0.7322 0.9805 0.5595  1 C 1.10
44 C 0.6020 0.2493 0.3253  3 H 1.10-1.11
45 Si 0.1925 0.6856 0.1225  4 C 1.87-1.92
46 Si 0.4658 0.7389 0.2742  4 C 1.88-1.91
47 H 0.7230 0.2913 0.3012  1 C 1.11
48 H 0.0314 0.1941 0.7542  1 B 1.22
49 H 0.2836 0.2330 0.0445  1 C 1.10
50 H 0.0314 0.6941 0.7458  1 B 1.22
51 H 0.2517 0.1181 0.5263  1 C 1.10
52 B 0.9657 0.1898 0.6809  3 H 1.22-1.23
53 Si 0.5342 0.7611 0.7742  4 C 1.88-1.91
54 H 0.1009 0.8352 0.6382  1 C 1.10
55 H 0.5062 0.8414 0.9297  1 C 1.10
56 C 0.2439 0.3423 0.4022  3 H 1.10
57 H 0.3972 0.8353 0.6488  1 C 1.10
58 C 0.9401 0.5506 0.3193  3 H 1.10
59 H 0.2163 0.0808 0.0544  1 C 1.10
60 H 0.9798 0.9722 0.1848  1 C 1.10
61 H 0.2483 0.0685 0.2554  1 C 1.11
62 H 0.1489 0.3924 0.1732  1 B 1.22
63 C 0.7561 0.6577 0.5978  3 H 1.10
64 B 0.9657 0.6898 0.8191  3 H 1.22-1.23
65 H 0.1489 0.8924 0.3268  1 B 1.22
66 H 0.5745 0.7996 0.1180  1 C 1.10
67 H 0.4173 0.3906 0.1219  1 C 1.10
68 H 0.9558 0.6337 0.0270  1 C 1.11
69 Si 0.8075 0.3144 0.8775  4 C 1.87-1.92
70 C 0.4531 0.3413 0.6378  3 H 1.10-1.11
71 H 0.7483 0.3819 0.0263  1 C 1.10
72 C 0.7561 0.1577 0.9022  3 H 1.10
73 C 0.6020 0.7493 0.1746  3 H 1.10-1.11
74 H 0.6278 0.1166 0.8987  1 C 1.10
75 H 0.3921 0.5691 0.8266  1 C 1.10
76 H 0.2043 0.8551 0.0286  1 C 1.10
77 H 0.7164 0.2670 0.5445  1 C 1.10
78 C 0.0237 0.3766 0.9001  3 H 1.10-1.11
79 B 0.0343 0.3102 0.1809  3 H 1.22-1.23
80 H 0.5827 0.1094 0.6219  1 C 1.10
81 C 0.3980 0.2507 0.8254  3 H 1.10-1.11
82 H 0.2483 0.5685 0.2446  1 C 1.11
83 H 0.2163 0.5808 0.4456  1 C 1.10
84 H 0.4352 0.9360 0.2638  1 C 1.10
85 H 0.0594 0.1989 0.6179  1 B 1.23
86 H 0.6079 0.4309 0.1734  1 C 1.10
87 H 0.9134 0.8388 0.9884  1 C 1.10
88 H 0.2517 0.6181 0.9737  1 C 1.10
89 C 0.5181 0.6127 0.8147  3 H 1.10
90 H 0.9414 0.5313 0.1142  1 C 1.10
91 H 0.1351 0.9521 0.8795  1 C 1.10
92 H 0.3245 0.3014 0.6316  1 C 1.11
93 H 0.8649 0.5479 0.3795  1 C 1.10
94 H 0.9686 0.3059 0.2542  1 B 1.22
95 H 0.5312 0.5695 0.3415  1 C 1.10
96 H 0.0866 0.6612 0.4884  1 C 1.10
97 H 0.2836 0.7330 0.4555  1 C 1.10
98 H 0.8511 0.6076 0.8268  1 B 1.22
99 H 0.9414 0.0313 0.3858  1 C 1.10
100 H 0.2678 0.5195 0.0595  1 C 1.10
101 C 0.4819 0.3873 0.1853  3 H 1.10
102 Si 0.8075 0.8144 0.6225  4 C 1.87-1.92
103 H 0.3245 0.8014 0.8684  1 C 1.11
104 H 0.9406 0.3011 0.1179  1 B 1.23
105 C 0.7481 0.8396 0.7441  1 H 1.11
106 H 0.8649 0.0479 0.1205  1 C 1.10
107 H 0.4688 0.4305 0.6585  1 C 1.10
108 H 0.5736 0.8555 0.5416  1 C 1.10
109 P 0.8937 0.8241 0.8269  3 C 1.81-1.82, 1 B 1.91
110 H 0.6079 0.9309 0.3266  1 C 1.10
111 H 0.2678 0.0195 0.4405  1 C 1.10
112 C 0.2968 0.6108 0.0426  3 H 1.10
113 H 0.4255 0.2004 0.8820  1 C 1.10
114 C 0.0599 0.4494 0.6807  3 H 1.10
115 Si 0.5342 0.2611 0.7258  4 C 1.88-1.91
116 H 0.4352 0.4360 0.2362  1 C 1.10
117 H 0.4938 0.6586 0.4297  1 C 1.10
118 Si 0.4658 0.2389 0.2258  4 C 1.88-1.91
119 H 0.1307 0.9443 0.7588  1 C 1.10
120 H 0.4264 0.1445 0.4584  1 C 1.10
121 C 0.0599 0.9494 0.8193  3 H 1.10
122 C 0.2519 0.6604 0.2441  1 H 1.11
123 C 0.9401 0.0506 0.1807  3 H 1.10
124 H 0.0442 0.8664 0.5270  1 C 1.11
125 H 0.6278 0.6166 0.6013  1 C 1.10
126 H 0.8511 0.1076 0.6732  1 B 1.22
127 H 0.5062 0.3414 0.5703  1 C 1.10
128 C 0.9763 0.1234 0.4001  3 H 1.10-1.11
129 B 0.0343 0.8102 0.3191  3 H 1.22-1.23
130 C 0.4531 0.8413 0.8622  3 H 1.10-1.11
131 H 0.8168 0.1148 0.8538  1 C 1.10
132 H 0.6755 0.1986 0.1316  1 C 1.11
133 C 0.4819 0.8873 0.3147  3 H 1.10
134 H 0.6028 0.1647 0.3512  1 C 1.10
135 H 0.9134 0.3388 0.5116  1 C 1.10
136 H 0.4688 0.9305 0.8415  1 C 1.10
137 Si 0.1925 0.1856 0.3775  4 C 1.87-1.92
138 H 0.1009 0.3352 0.8618  1 C 1.10
139 H 0.9798 0.4722 0.3152  1 C 1.10
140 H 0.3722 0.8834 0.1013  1 C 1.10
141 H 0.7957 0.1449 0.9714  1 C 1.10
142 C 0.5469 0.1587 0.1378  3 H 1.10-1.11
143 H 0.1832 0.3852 0.3538  1 C 1.10
144 C 0.5469 0.6587 0.3622  3 H 1.10-1.11
145 C 0.1815 0.1609 0.0605  3 H 1.10
146 C 0.7032 0.8892 0.5426  3 H 1.10
147 P 0.8937 0.3241 0.6731  3 C 1.81-1.82, 1 B 1.91
148 H 0.0866 0.1612 0.0116  1 C 1.10
149 H 0.1832 0.8852 0.1462  1 C 1.10
150 H 0.8168 0.6148 0.6462  1 C 1.10
151 H 0.0586 0.4687 0.8858  1 C 1.10
152 H 0.2770 0.2087 0.8012  1 C 1.11
153 H 0.7517 0.9315 0.7446  1 C 1.11
154 H 0.2770 0.7087 0.6988  1 C 1.11
155 H 0.4264 0.6445 0.0416  1 C 1.10
156 C 0.2439 0.8423 0.0978  3 H 1.10
157 H 0.0594 0.6989 0.8821  1 B 1.23
158 H 0.7483 0.8819 0.4737  1 C 1.10
159 H 0.6755 0.6986 0.3684  1 C 1.11
160 H 0.8693 0.0557 0.2412  1 C 1.10
161 C 0.1815 0.6609 0.4395  3 H 1.10
162 H 0.3722 0.3834 0.3987  1 C 1.10
163 H 0.3921 0.0691 0.6734  1 C 1.10
164 H 0.0442 0.3664 0.9730  1 C 1.11

Entry 8:
First-principles (SCAN) data for a crystal of HfBIrC2 relaxed with PBEsol, as listed in the Alexandria database.

Summary:
space-group type	No. 123
total moment	0.0	Bohr magnetons per cell
energy	-154.21	eV/f.u.
energy of formation from the pure elements	1.439	eV/atom
density of states at the Fermi level	3.39	states/eV/cell

a b c (Å): 3.8653 3.8653 4.1833
angles (deg): 90.00 90.00 90.00
Closest atoms and distances in Å follow each position.
Fractional coordinates of all 5 atoms:
1 B 0.0000 0.0000 0.5000  2 Ir 2.09
2 C 0.5000 0.0000 0.0000  2 Ir 1.93
3 C 0.0000 0.5000 0.0000  2 Ir 1.93
4 Hf 0.5000 0.5000 0.5000  4 B 2.73, 8 C 2.85
5 Ir 0.0000 0.0000 0.0000  4 C 1.93, 2 B 2.09